# 1
This record from the Open Quantum Materials Database describes crystalline Gd2Tm2CF5 at its relaxed geometry. The functional is PBE.

Properties
Mass density   7812 kg/m³
Raw total energy   -6.329 eV per atom
Size of the total moment   0.00 μB per formula unit
Volume   16.14 A^3/atom
Crystal system   monoclinic
Space-group type   C2/m

Cell: 7.6138 7.6138 6.9051 Å, 113.46 113.46 26.22°
With the nearest neighbours (Å) after each atom.
Fractional positions:
C (0.5000, 0.5000, 0.0000)  2 Tm 2.28, 4 Gd 2.40
F (0.1711, 0.1711, 0.8900)  3 Tm 2.34-2.40, 1 Gd 2.52
F (0.5000, 0.5000, 0.5000)  4 Gd 2.50
F (0.8289, 0.8289, 0.1100)  3 Tm 2.34-2.40, 1 Gd 2.52
F (0.8033, 0.8033, 0.6690)  2 Tm 2.21
F (0.1967, 0.1967, 0.3310)  2 Tm 2.21
Tm (0.3322, 0.3322, 0.8847)  5 F 2.21-2.40, 1 C 2.28
Tm (0.6678, 0.6678, 0.1153)  5 F 2.21-2.40, 1 C 2.28
Gd (0.9852, 0.9852, 0.7471)  2 C 2.40, 4 F 2.50-2.53
Gd (0.0148, 0.0148, 0.2529)  2 C 2.40, 4 F 2.50-2.53

=====

# 2
This record from the Open Quantum Materials Database describes crystalline SnPt15 at its relaxed geometry. The functional is PBE.

Properties
Mass density   14337 kg/m³
Raw total energy   -5.942 eV per atom
Size of the total moment   0.00 μB per formula unit
Energy relative to the lowest polymorph listed for this composition   0.0000 eV per atom
Volume   22.04 A^3/atom
Crystal system   orthorhombic
Space-group type   Pmma

Cell: 3.9548 3.9549 45.0950 Å, 90.00 90.00 90.00°
With the nearest neighbours (Å) after each atom.
Fractional positions:
Pt (0.5000, 0.5000, 0.3020)  12 Pt 2.80-2.82
Pt (0.0000, 0.0000, 0.4779)  12 Pt 2.80-2.81
Pt (0.5000, 0.5000, 0.5663)  12 Pt 2.80-2.81
Pt (0.5000, 0.0000, 0.3460)  12 Pt 2.79-2.80
Pt (0.0000, 0.5000, 0.6980)  12 Pt 2.80-2.82
Pt (0.5000, 0.5000, 0.3897)  12 Pt 2.79-2.80
Pt (0.5000, 0.5000, 0.7427)  12 Pt 2.80-2.82
Pt (0.5000, 0.0000, 0.5221)  12 Pt 2.80-2.81
Pt (0.5000, 0.0000, 0.6980)  12 Pt 2.80-2.82
Pt (0.0000, 0.0000, 0.6541)  12 Pt 2.80
Pt (0.5000, 0.0000, 0.2573)  12 Pt 2.80-2.82
Pt (0.0000, 0.5000, 0.5221)  12 Pt 2.80-2.81
Pt (0.5000, 0.5000, 0.6539)  12 Pt 2.79-2.80
Pt (0.0000, 0.0000, 0.7420)  12 Pt 2.80-2.84
Pt (0.5000, 0.0000, 0.6103)  12 Pt 2.79-2.80
Pt (0.5000, 0.5000, 0.2128)  10 Pt 2.79-2.84, 2 Sn 2.97
Pt (0.0000, 0.5000, 0.7872)  10 Pt 2.79-2.84, 2 Sn 2.97
Pt (0.0000, 0.5000, 0.4337)  12 Pt 2.80-2.81
Pt (0.0000, 0.0000, 0.5663)  12 Pt 2.80-2.81
Pt (0.5000, 0.0000, 0.7872)  10 Pt 2.79-2.84, 2 Sn 2.97
Pt (0.5000, 0.0000, 0.1691)  4 Pt 2.79, 4 Sn 2.81
Pt (0.5000, 0.0000, 0.4337)  12 Pt 2.80-2.81
Pt (0.5000, 0.5000, 0.4779)  12 Pt 2.80-2.81
Pt (0.0000, 0.0000, 0.3897)  12 Pt 2.79-2.80
Pt (0.0000, 0.0000, 0.3020)  12 Pt 2.80-2.82
Pt (0.5000, 0.5000, 0.8310)  4 Pt 2.79, 4 Sn 2.81
Pt (0.0000, 0.5000, 0.3459)  12 Pt 2.80
Pt (0.0000, 0.0000, 0.2128)  10 Pt 2.79-2.84, 2 Sn 2.97
Pt (0.0000, 0.5000, 0.2580)  12 Pt 2.80-2.84
Pt (0.0000, 0.5000, 0.6103)  12 Pt 2.79-2.80
Sn (0.0000, 0.5000, 0.1638)  8 Pt 2.81-2.97
Sn (0.0000, 0.0000, 0.8362)  8 Pt 2.81-2.97

=====

# 3
This record from the Open Quantum Materials Database describes crystalline SrNi2Hg at its relaxed geometry. The functional is PBE.

Properties
Mass density   8585 kg/m³
Raw total energy   -2.959 eV per atom
Size of the total moment   0.16 μB per formula unit
Volume   19.61 A^3/atom
Crystal system   cubic
Space-group type   F-43m

Cell: 4.8051 4.8051 4.8051 Å, 60.00 60.00 60.00°
With the nearest neighbours (Å) after each atom.
Fractional positions:
Ni (0.0000, 0.0000, 0.0000)  4 Ni 2.94, 4 Hg 2.94
Ni (0.7500, 0.7500, 0.7500)  4 Ni 2.94, 4 Sr 2.94
Hg (0.2500, 0.2500, 0.2500)  4 Sr 2.94, 4 Ni 2.94
Sr (0.5000, 0.5000, 0.5000)  4 Hg 2.94, 4 Ni 2.94

=====

# 4
This record from the Open Quantum Materials Database describes crystalline ErZnNi at its relaxed geometry. The functional is PBE.

Properties
Mass density   7443 kg/m³
Raw total energy   -3.530 eV per atom
Size of the total moment   0.00 μB per formula unit
Volume   21.67 A^3/atom
Crystal system   cubic
Space-group type   F-43m

Cell: 4.5131 4.5131 4.5131 Å, 60.00 60.00 60.00°
With the nearest neighbours (Å) after each atom.
Fractional positions:
Zn (0.7500, 0.7500, 0.7500)  4 Er 2.76
Ni (0.2500, 0.2500, 0.2500)  4 Er 2.76
Er (0.0000, 0.0000, 0.0000)  4 Zn 2.76, 4 Ni 2.76

=====

# 5
This record from the Open Quantum Materials Database describes crystalline Na2HoO4 at its relaxed geometry. The functional is PBE.

Properties
Mass density   4254 kg/m³
Raw total energy   -5.216 eV per atom
Size of the total moment   3.00 μB per formula unit
Volume   15.33 A^3/atom
Crystal system   cubic
Space-group type   Fd-3m

Cell: 6.7208 6.7208 6.7208 Å, 120.01 89.98 120.01°
With the nearest neighbours (Å) after each atom.
Fractional positions:
Ho (0.0000, 0.0000, 0.0000)  4 O 2.11
Ho (0.7500, 0.5000, 0.2500)  4 O 2.11
Na (0.3750, 0.7500, 0.1250)  6 O 2.35
Na (0.3750, 0.7500, 0.6250)  6 O 2.35
Na (0.3750, 0.2500, 0.6250)  6 O 2.35
Na (0.8750, 0.2500, 0.6250)  6 O 2.35
O (0.6152, 0.7434, 0.8717)  1 Ho 2.11, 3 Na 2.35
O (0.1283, 0.7434, 0.8717)  1 Ho 2.11, 3 Na 2.35
O (0.1283, 0.2566, 0.8717)  1 Ho 2.11, 3 Na 2.35
O (0.1283, 0.2566, 0.3848)  1 Ho 2.11, 3 Na 2.35
O (0.6217, 0.7566, 0.3783)  1 Ho 2.11, 3 Na 2.35
O (0.6217, 0.2434, 0.8652)  1 Ho 2.11, 3 Na 2.35
O (0.1348, 0.7566, 0.3783)  1 Ho 2.11, 3 Na 2.35
O (0.6217, 0.2434, 0.3783)  1 Ho 2.11, 3 Na 2.35

=====

# 6
This record from the Open Quantum Materials Database describes crystalline DyAlNO at its relaxed geometry. The functional is PBE.

Properties
Mass density   6788 kg/m³
Raw total energy   -7.353 eV per atom
Size of the total moment   0.00 μB per formula unit
Energy relative to the lowest polymorph listed for this composition   0.0000 eV per atom
Volume   13.42 A^3/atom
Crystal system   orthorhombic
Space-group type   Pmc2_1

Cell: 3.3775 5.1321 6.1947 Å, 90.00 90.00 90.00°
With the nearest neighbours (Å) after each atom.
Fractional positions:
Al (0.5000, 0.4930, 0.8206)  2 O 1.81-1.83, 2 N 1.89
Al (0.5000, 0.9930, 0.1794)  2 O 1.81-1.83, 2 N 1.89
O (0.5000, 0.8270, 0.9221)  2 Al 1.81-1.83
O (0.5000, 0.3270, 0.0779)  2 Al 1.81-1.83
N (0.0000, 0.4558, 0.6874)  2 Al 1.89
N (0.0000, 0.9558, 0.3126)  2 Al 1.89
Dy (0.0000, 0.4781, 0.3274)  2 N 2.23-2.45, 2 O 2.42
Dy (0.0000, 0.9781, 0.6726)  2 N 2.23-2.45, 2 O 2.42